# PBE with a Hubbard U K3CoF, relaxed
data_K3CoF
_symmetry_space_group_name_H-M 'P 1'
_symmetry_Int_Tables_number 1
_cell_length_a 5.456
_cell_length_b 5.456
_cell_length_c 5.456
_cell_angle_alpha 90.00
_cell_angle_beta 90.00
_cell_angle_gamma 90.00
loop_
_symmetry_equiv_pos_as_xyz
'x,y,z'
loop_
_atom_site_label
_atom_site_type_symbol
_atom_site_fract_x
_atom_site_fract_y
_atom_site_fract_z
_atom_site_occupancy
K1 K 0.000 0.000 0.500 1
K2 K 0.000 0.500 0.000 1
K3 K 0.500 0.000 0.000 1
Co1 Co 0.500 0.500 0.500 1
F1 F 0.000 0.000 0.000 1
# Symmetry ... Pm-3m (221)
# Total energy ... -2.7112 eV per atom
# N(E_F) ... 2.9 states/eV per cell
# V ... 32.5 Å³ per atom